First-principles (PBE-GGA) data for an optimized crystal structure of Ti2CoGe, as listed in the Alexandria database.

Values from the calculation:
As for the symmetry: R-3m, No. 166. The density of states at the Fermi level comes out at 4.05 states/eV per cell. Its formation energy is -152.0 meV per atom. As for the volume: 15.48 Å³ per atom. The value obtained for the size of the total moment is 0.00 μB per cell.

Lattice parameters (Å, degrees): 3.065 3.065 7.814 78.69 78.69 60.00
Sites, in units of the cell vectors:
Ge  0.500  0.500  0.500
Co  0.000  0.000  0.000
Ti  0.740  0.740  0.780
Ti  0.260  0.260  0.220

***

First-principles (PBE-GGA) data for an optimized crystal structure of Ti12CoGe6, as listed in the Alexandria database.

Values from the calculation:
As for the symmetry: R-3, No. 148. The density of states at the Fermi level comes out at 20.21 states/eV per cell. Its formation energy is -183.9 meV per atom. As for the volume: 18.33 Å³ per atom. The value obtained for the size of the total moment is 0.01 μB per cell.

Lattice parameters (Å, degrees): 7.167 7.167 7.167 100.21 100.21 100.21
Sites, in units of the cell vectors:
Ge  0.124  0.645  0.318
Co  0.000  0.000  0.000
Ti  0.014  0.680  0.946
Ti  0.986  0.320  0.054
Ti  0.808  0.585  0.453
Ti  0.547  0.192  0.415
Ge  0.645  0.318  0.124
Ti  0.415  0.547  0.192
Ti  0.453  0.808  0.585
Ge  0.876  0.355  0.682
Ge  0.318  0.124  0.645
Ti  0.054  0.986  0.320
Ge  0.682  0.876  0.355
Ti  0.320  0.054  0.986
Ti  0.192  0.415  0.547
Ge  0.355  0.682  0.876
Ti  0.680  0.946  0.014
Ti  0.946  0.014  0.680
Ti  0.585  0.453  0.808

***

First-principles (PBE-GGA) data for an optimized crystal structure of Ti4Co2Ge, as listed in the Alexandria database.

Values from the calculation:
As for the symmetry: R-3m, No. 166. The density of states at the Fermi level comes out at 8.35 states/eV per cell. Its formation energy is -162.8 meV per atom. As for the volume: 16.18 Å³ per atom. The value obtained for the size of the total moment is 0.00 μB per cell.

Lattice parameters (Å, degrees): 3.916 3.916 8.821 77.18 77.18 60.00
Sites, in units of the cell vectors:
Ti  0.387  0.387  0.839
Ti  0.201  0.201  0.398
Ti  0.799  0.799  0.602
Ti  0.613  0.613  0.161
Co  0.900  0.900  0.299
Co  0.100  0.100  0.701
Ge  0.000  0.000  0.000

***

First-principles (PBE-GGA) data for an optimized crystal structure of Ti2CoGe, as listed in the Alexandria database.

Values from the calculation:
As for the symmetry: P4/mmm, No. 123. The density of states at the Fermi level comes out at 4.30 states/eV per cell. Its formation energy is -363.8 meV per atom. As for the volume: 14.43 Å³ per atom. The value obtained for the size of the total moment is 0.01 μB per cell.

Lattice parameters (Å, degrees): 3.276 3.276 5.378 90.00 90.00 90.00
Sites, in units of the cell vectors:
Ge  0.500  0.500  0.500
Co  0.500  0.500  0.000
Ti  0.000  0.000  0.757
Ti  0.000  0.000  0.243

***

First-principles (PBE-GGA) data for an optimized crystal structure of Ti2CoGe, as listed in the Alexandria database.

Values from the calculation:
As for the symmetry: I-42d, No. 122. The density of states at the Fermi level comes out at 9.86 states/eV per cell. Its formation energy is -75.5 meV per atom. As for the volume: 15.51 Å³ per atom. The value obtained for the size of the total moment is 0.00 μB per cell.

Lattice parameters (Å, degrees): 6.765 6.765 5.498 52.03 52.03 90.00
Sites, in units of the cell vectors:
Ge  0.000  0.000  0.000
Ti  0.162  0.625  0.250
Ge  0.750  0.250  0.500
Co  0.500  0.500  0.000
Ti  0.875  0.838  0.750
Ti  0.375  0.412  0.750
Co  0.250  0.750  0.500
Ti  0.588  0.125  0.250

***

First-principles (PBE-GGA) data for an optimized crystal structure of Ti2Co3Ge, as listed in the Alexandria database.

Values from the calculation:
As for the symmetry: P3m1, No. 156. The density of states at the Fermi level comes out at 4.05 states/eV per cell. Its formation energy is -275.5 meV per atom. As for the volume: 14.16 Å³ per atom. The value obtained for the size of the total moment is 0.00 μB per cell.

Lattice parameters (Å, degrees): 4.943 4.943 4.015 90.00 90.00 120.00
Sites, in units of the cell vectors:
Co  0.327  0.164  0.308
Co  0.836  0.164  0.308
Ge  0.000  0.000  0.808
Ti  0.333  0.667  0.215
Ti  0.667  0.333  0.802
Co  0.836  0.673  0.308

***

First-principles (PBE-GGA) data for an optimized crystal structure of TiCo2Ge, as listed in the Alexandria database.

Values from the calculation:
As for the symmetry: I-42d, No. 122. The density of states at the Fermi level comes out at 7.60 states/eV per cell. Its formation energy is 111.2 meV per atom. As for the volume: 13.76 Å³ per atom. The value obtained for the size of the total moment is 0.00 μB per cell.

Lattice parameters (Å, degrees): 6.442 6.442 5.271 52.33 52.33 90.00
Sites, in units of the cell vectors:
Co  0.875  0.875  0.750
Ti  0.500  0.500  0.000
Co  0.375  0.375  0.750
Ge  0.000  0.000  0.000
Co  0.125  0.625  0.250
Ge  0.750  0.250  0.500
Co  0.625  0.125  0.250
Ti  0.250  0.750  0.500

***

First-principles (PBE-GGA) data for an optimized crystal structure of Ti2Co6Ge, as listed in the Alexandria database.

Values from the calculation:
As for the symmetry: Immm, No. 71. The density of states at the Fermi level comes out at 10.57 states/eV per cell. Its formation energy is -76.3 meV per atom. As for the volume: 12.38 Å³ per atom. The value obtained for the size of the total moment is 5.05 μB per cell.

Lattice parameters (Å, degrees): 2.648 7.355 6.928 122.06 101.01 90.00
Sites, in units of the cell vectors:
Co  0.181  0.013  0.362
Co  0.819  0.651  0.638
Co  0.819  0.987  0.638
Co  0.500  0.708  0.000
Ti  0.858  0.359  0.717
Co  0.181  0.349  0.362
Ge  0.000  0.000  0.000
Co  0.500  0.292  0.000
Ti  0.142  0.641  0.283

***

First-principles (PBE-GGA) data for an optimized crystal structure of Ti3CoGe, as listed in the Alexandria database.

Values from the calculation:
For the energy above the most stable polymorph in this dataset, the calculation gives 67.1 kJ/mol of atoms. As for the symmetry: Pm-3m, No. 221. The density of states at the Fermi level comes out at 7.11 states/eV per cell. Its formation energy is 770.7 meV per atom. As for the volume: 20.17 Å³ per atom. The value obtained for the size of the total moment is 1.52 μB per cell.

Lattice parameters (Å, degrees): 4.655 4.655 4.655 90.00 90.00 90.00
Sites, in units of the cell vectors:
Ti  0.000  0.500  0.000
Ge  0.000  0.000  0.000
Ti  0.000  0.000  0.500
Co  0.500  0.500  0.500
Ti  0.500  0.000  0.000

***

First-principles (PBE-GGA) data for an optimized crystal structure of TiCo2Ge, as listed in the Alexandria database.

Values from the calculation:
As for the symmetry: P4/mmm, No. 123. The density of states at the Fermi level comes out at 3.74 states/eV per cell. Its formation energy is -333.3 meV per atom. As for the volume: 12.63 Å³ per atom. The value obtained for the size of the total moment is 0.00 μB per cell.

Lattice parameters (Å, degrees): 3.053 3.053 5.421 90.00 90.00 90.00
Sites, in units of the cell vectors:
Co  0.000  0.000  0.756
Ti  0.500  0.500  0.500
Co  0.000  0.000  0.244
Ge  0.500  0.500  0.000